A plane-wave DFT calculation with PBE-GGA was carried out for Na2CaTi2Ge3O12 after structural relaxation.

## Properties
The calculation puts the magnetization at 0.00 μB per formula unit. As for the density of states at the Fermi level: 0.000 states/eV per atom. Its volume is 11.94 Å³ per atom. The calculation puts the energy relative to the elements, uncorrected at -222.53 kJ per mole of atoms.

Lattice parameters (Å, degrees): 10.747 10.747 10.747 109.71 109.71 108.99
Fractional coordinates of all 80 atoms:
Na: 0.123 0.250 0.373
Na: 0.250 0.377 0.127
Na: 0.250 0.877 0.627
Na: 0.377 0.750 0.127
Na: 0.623 0.250 0.873
Na: 0.750 0.123 0.373
Na: 0.750 0.623 0.873
Na: 0.877 0.750 0.627
Ca: 0.125 0.375 0.750
Ca: 0.375 0.125 0.250
Ca: 0.625 0.875 0.750
Ca: 0.875 0.625 0.250
Ti: 0.000 0.000 0.000
Ti: 0.000 0.000 0.500
Ti: 0.000 0.500 0.000
Ti: 0.000 0.500 0.500
Ti: 0.500 0.000 0.000
Ti: 0.500 0.000 0.500
Ti: 0.500 0.500 0.000
Ti: 0.500 0.500 0.500
Ge: 0.125 0.875 0.250
Ge: 0.126 0.750 0.876
Ge: 0.250 0.126 0.876
Ge: 0.250 0.626 0.376
Ge: 0.374 0.250 0.624
Ge: 0.375 0.625 0.750
Ge: 0.625 0.375 0.250
Ge: 0.626 0.750 0.376
Ge: 0.750 0.374 0.624
Ge: 0.750 0.874 0.124
Ge: 0.874 0.250 0.124
Ge: 0.875 0.125 0.750
O: 0.008 0.193 0.110
O: 0.013 0.316 0.896
O: 0.080 0.883 0.396
O: 0.083 0.693 0.684
O: 0.100 0.614 0.417
O: 0.102 0.992 0.684
O: 0.114 0.600 0.917
O: 0.117 0.013 0.196
O: 0.183 0.197 0.583
O: 0.184 0.487 0.604
O: 0.193 0.583 0.184
O: 0.197 0.114 0.014
O: 0.303 0.317 0.917
O: 0.307 0.492 0.390
O: 0.316 0.920 0.304
O: 0.317 0.900 0.014
O: 0.383 0.580 0.896
O: 0.386 0.303 0.486
O: 0.398 0.083 0.890
O: 0.400 0.817 0.514
O: 0.417 0.102 0.610
O: 0.420 0.816 0.804
O: 0.487 0.383 0.304
O: 0.492 0.602 0.184
O: 0.508 0.398 0.816
O: 0.513 0.617 0.696
O: 0.580 0.184 0.196
O: 0.583 0.898 0.390
O: 0.600 0.183 0.486
O: 0.602 0.917 0.110
O: 0.614 0.697 0.514
O: 0.617 0.420 0.104
O: 0.683 0.100 0.986
O: 0.684 0.080 0.696
O: 0.693 0.508 0.610
O: 0.697 0.683 0.083
O: 0.803 0.886 0.986
O: 0.807 0.417 0.816
O: 0.816 0.513 0.396
O: 0.817 0.803 0.417
O: 0.883 0.987 0.804
O: 0.886 0.400 0.083
O: 0.898 0.008 0.316
O: 0.900 0.386 0.583
O: 0.917 0.307 0.316
O: 0.920 0.117 0.604
O: 0.987 0.684 0.104
O: 0.992 0.807 0.890


A plane-wave DFT calculation with PBE-GGA was carried out for SrCoP2W after structural relaxation.

## Properties
As for the energy of formation from the pure elements: -3.05 eV/f.u. The calculation puts the magnetization at 0.15 μB per formula unit. As for the density of states at the Fermi level: 0.978 states/eV per atom. Its volume is 18.56 Å³ per atom.

Lattice parameters (Å, degrees): 3.933 3.933 12.001 90.00 90.00 90.00
Fractional coordinates of all 10 atoms:
Sr: 0.000 0.000 0.000
Sr: 0.500 0.500 0.500
Co: 0.000 0.500 0.750
Co: 0.500 0.000 0.250
P: 0.000 0.000 0.357
P: 0.000 0.000 0.643
P: 0.500 0.500 0.143
P: 0.500 0.500 0.857
W: 0.000 0.500 0.250
W: 0.500 0.000 0.750


A plane-wave DFT calculation with PBE-GGA was carried out for Hf3InGa4 after structural relaxation.

## Properties
As for the energy of formation from the pure elements: -2.20 eV/f.u. The calculation puts the magnetization at 0.00 μB per formula unit. As for the density of states at the Fermi level: 0.358 states/eV per atom. Its volume is 19.19 Å³ per atom.

Lattice parameters (Å, degrees): 9.561 5.689 5.645 90.00 90.00 90.00
Fractional coordinates of all 16 atoms:
Hf: 0.000 0.133 0.000
Hf: 0.228 0.373 0.614
Hf: 0.272 0.627 0.114
Hf: 0.500 0.867 0.500
Hf: 0.728 0.627 0.114
Hf: 0.772 0.373 0.614
In: 0.000 0.618 0.344
In: 0.500 0.382 0.844
Ga: 0.000 0.089 0.495
Ga: 0.000 0.618 0.861
Ga: 0.224 0.877 0.682
Ga: 0.276 0.123 0.182
Ga: 0.500 0.382 0.361
Ga: 0.500 0.911 0.995
Ga: 0.724 0.123 0.182
Ga: 0.776 0.877 0.682


Copy entry 3 word for word.
A plane-wave DFT calculation with PBE-GGA was carried out for Hf3InGa4 after structural relaxation.

## Properties
As for the energy of formation from the pure elements: -2.20 eV/f.u. The calculation puts the magnetization at 0.00 μB per formula unit. As for the density of states at the Fermi level: 0.358 states/eV per atom. Its volume is 19.19 Å³ per atom.

Lattice parameters (Å, degrees): 9.561 5.689 5.645 90.00 90.00 90.00
Fractional coordinates of all 16 atoms:
Hf: 0.000 0.133 0.000
Hf: 0.228 0.373 0.614
Hf: 0.272 0.627 0.114
Hf: 0.500 0.867 0.500
Hf: 0.728 0.627 0.114
Hf: 0.772 0.373 0.614
In: 0.000 0.618 0.344
In: 0.500 0.382 0.844
Ga: 0.000 0.089 0.495
Ga: 0.000 0.618 0.861
Ga: 0.224 0.877 0.682
Ga: 0.276 0.123 0.182
Ga: 0.500 0.382 0.361
Ga: 0.500 0.911 0.995
Ga: 0.724 0.123 0.182
Ga: 0.776 0.877 0.682


> What is the magnetization in the first record?

0.00 μB per formula unit


> Number 3 is which compound?

Hf3InGa4